Material: Ba2IrWS6
Method: DFT, PBE
State: optimized geometry

abc: 6.8023 6.8023 6.8023
angles: 60.00 60.00 60.00
Last column: nearest neighbours and their distance in Å.
Positions (direct):
Ba  0.2500  0.2500  0.2500  12 S 3.40
Ba  0.7500  0.7500  0.7500  12 S 3.40
Ir  0.0000  0.0000  0.0000  6 S 2.41
W  0.5000  0.5000  0.5000  6 S 2.40
S  0.2507  0.2507  0.7493  1 W 2.40, 1 Ir 2.41
S  0.2507  0.7493  0.2507  1 W 2.40, 1 Ir 2.41
S  0.2507  0.7493  0.7493  1 W 2.40, 1 Ir 2.41
S  0.7493  0.2507  0.2507  1 W 2.40, 1 Ir 2.41
S  0.7493  0.2507  0.7493  1 W 2.40, 1 Ir 2.41
S  0.7493  0.7493  0.2507  1 W 2.40, 1 Ir 2.41

Results
As for the space group: Fm-3m (225).

Material: Sm2Tl2Re
Method: DFT, PBE
State: optimized geometry

abc: 3.9618 3.9618 8.6355
angles: 90.00 90.00 90.00
Last column: nearest neighbours and their distance in Å.
Positions (direct):
Sm  0.0000  0.0000  0.1773  1 Sm 3.06, 4 Re 3.19, 4 Tl 3.42
Sm  0.0000  0.0000  0.8227  1 Sm 3.06, 4 Re 3.19, 4 Tl 3.42
Tl  0.0000  0.5000  0.5000  4 Tl 2.80
Tl  0.5000  0.0000  0.5000  4 Tl 2.80
Re  0.5000  0.5000  0.0000  8 Sm 3.19

Results
As for the space group: P4/mmm (123).

Material: Pr2Sm2CI3Cl2
Method: DFT, PBE
State: optimized geometry

abc: 9.2540 9.2540 8.9683
angles: 102.17 102.17 25.23
Last column: nearest neighbours and their distance in Å.
Positions (direct):
Pr  0.0034  0.0034  0.3057  2 C 2.68, 1 Cl 2.96
Pr  0.9966  0.9966  0.6943  2 C 2.68, 1 Cl 2.96
Sm  0.3596  0.3596  0.4363  1 C 2.48
Sm  0.6404  0.6404  0.5637  1 C 2.48
C  0.5000  0.5000  0.5000  2 Sm 2.48, 4 Pr 2.68
I  0.1756  0.1756  0.8327  2 Sm 3.11, 1 Pr 3.20
I  0.5000  0.5000  0.0000  4 Pr 3.40
I  0.8244  0.8244  0.1673  2 Sm 3.11, 1 Pr 3.20
Cl  0.1709  0.1709  0.3634  2 Sm 2.84, 1 Pr 2.96
Cl  0.8291  0.8291  0.6366  2 Sm 2.84, 1 Pr 2.96

Results
As for the space group: C2/m (12). Its energy above the most stable polymorph in this dataset is 0.008 eV/atom.

Material: MgAg
Method: DFT, PBE
State: optimized geometry

abc: 3.0489 4.8965 4.9510
angles: 90.00 90.00 90.00
Last column: nearest neighbours and their distance in Å.
Positions (direct):
Mg  0.2500  0.2500  0.1078  6 Ag 2.83-2.92, 6 Mg 3.05-3.08
Mg  0.7500  0.7500  0.8922  6 Ag 2.83-2.92, 6 Mg 3.05-3.08
Ag  0.2500  0.7500  0.3953  6 Mg 2.83-2.92, 6 Ag 3.05-3.06
Ag  0.7500  0.2500  0.6047  6 Mg 2.83-2.92, 6 Ag 3.05-3.06

Results
As for the space group: Pmmn (59).

| no. | E_tot (eV per cell) | theoretical density (g cm⁻³) |
| --- | --- | --- |
| 1 | -58.9 | 6.29 |
| 2 | -23.9 | 10.97 |
| 3 | -50.0 | 5.43 |
| 4 | -9.3 | 5.94 |